No. 1
NdTcGe: relaxed, PBE-GGA.

abc: 6.471 6.471 6.471
angles: 90.00 90.00 90.00
Space group F-43m (No. 216)
Symmetry-distinct sites (fractional):
Nd 0.000 0.000 0.000 (multiplicity 4)
Tc 0.000 0.000 0.500 (multiplicity 4)
Ge 0.250 0.250 0.250 (multiplicity 4)

Calculated values
The calculation puts the raw total energy at -77.50 eV for the cell shown. The spin magnetization comes out at 0.8 μB per cell.


No. 2
Rb2NaZn2H5C4O14: relaxed, PBE-GGA.

abc: 5.184 11.060 11.638
angles: 90.00 114.39 90.00
Space group P2_1/c (No. 14)
Symmetry-distinct sites (fractional):
Rb 0.039 0.165 0.074 (multiplicity 4)
Na 0.000 0.000 0.500 (multiplicity 2)
Zn 0.332 0.608 0.795 (multiplicity 4)
H 0.055 0.694 0.180 (multiplicity 4)
H 0.380 0.664 0.225 (multiplicity 4)
H 0.500 0.000 0.000 (multiplicity 2)
C 0.286 0.073 0.818 (multiplicity 4)
C 0.427 0.126 0.433 (multiplicity 4)
O 0.056 0.063 0.835 (multiplicity 4)
O 0.205 0.165 0.444 (multiplicity 4)
O 0.248 0.710 0.253 (multiplicity 4)
O 0.286 0.111 0.713 (multiplicity 4)
O 0.332 0.618 0.968 (multiplicity 4)
O 0.418 0.092 0.325 (multiplicity 4)
O 0.473 0.542 0.590 (multiplicity 4)

Calculated values
The calculation puts the raw total energy at -338.59 eV for the cell shown.


No. 3
BaNbNi: relaxed, PBE-GGA.

abc: 6.582 6.582 6.582
angles: 90.00 90.00 90.00
Space group F-43m (No. 216)
Symmetry-distinct sites (fractional):
Ba 0.000 0.000 0.000 (multiplicity 4)
Nb 0.250 0.250 0.750 (multiplicity 4)
Ni 0.250 0.250 0.250 (multiplicity 4)

Calculated values
The calculation puts the raw total energy at -48.35 eV for the cell shown. The spin magnetization comes out at 0.1 μB per cell.


No. 4
TlTcAuSe3: relaxed, PBE-GGA.

abc: 14.500 3.740 10.300
angles: 90.00 90.00 90.00
Space group Pnma (No. 62)
Symmetry-distinct sites (fractional):
Tl 0.235 0.250 0.062 (multiplicity 4)
Tc 0.010 0.250 0.325 (multiplicity 4)
Au 0.048 0.750 0.080 (multiplicity 4)
Se 0.078 0.250 0.561 (multiplicity 4)
Se 0.111 0.750 0.843 (multiplicity 4)
Se 0.127 0.750 0.294 (multiplicity 4)

Calculated values
The calculation puts the raw total energy at -109.04 eV for the cell shown. The spin magnetization comes out at 0.0 μB per cell.


No. 5
ReSnSe2S2: relaxed, PBE-GGA.

abc: 6.549 7.010 7.486
angles: 62.09 73.48 89.10
Space group P-1 (No. 2)
Symmetry-distinct sites (fractional):
Re 0.001 0.200 0.000 (multiplicity 2)
Sn 0.000 0.263 0.473 (multiplicity 2)
Se 0.229 0.599 0.796 (multiplicity 2)
Se 0.266 0.128 0.734 (multiplicity 2)
S 0.218 0.654 0.219 (multiplicity 2)
S 0.219 0.122 0.217 (multiplicity 2)

Calculated values
The calculation puts the raw total energy at -66.96 eV for the cell shown. The spin magnetization comes out at 0.0 μB per cell.


No. 6
NbCuGeOs: relaxed, PBE-GGA.

abc: 6.206 6.206 6.206
angles: 90.00 90.00 90.00
Space group F-43m (No. 216)
Symmetry-distinct sites (fractional):
Nb 0.000 0.000 0.000 (multiplicity 4)
Cu 0.250 0.250 0.750 (multiplicity 4)
Ge 0.000 0.000 0.500 (multiplicity 4)
Os 0.250 0.250 0.250 (multiplicity 4)

Calculated values
The calculation puts the raw total energy at -118.70 eV for the cell shown. The spin magnetization comes out at 0.0 μB per cell.


No. 7
Cd3PI3: relaxed, PBE-GGA.

abc: 7.441 4.487 7.860
angles: 90.00 90.17 90.00
Space group Pm (No. 6)
Symmetry-distinct sites (fractional):
Cd 0.000 0.000 0.000 (multiplicity 1)
Cd 0.036 0.500 0.590 (multiplicity 1)
Cd 0.575 0.500 0.847 (multiplicity 1)
P 0.909 0.500 0.884 (multiplicity 1)
I 0.406 0.000 0.035 (multiplicity 1)
I 0.410 0.500 0.522 (multiplicity 1)
I 0.906 0.000 0.376 (multiplicity 1)

Calculated values
The calculation puts the raw total energy at -15.80 eV for the cell shown.


No. 8
KLuNO: relaxed, PBE-GGA.

abc: 3.559 7.289 6.341
angles: 90.00 90.00 90.00
Space group Pmc2_1 (No. 26)
Symmetry-distinct sites (fractional):
K 0.000 0.161 0.000 (multiplicity 2)
Lu 0.500 0.337 0.492 (multiplicity 2)
N 0.500 0.400 0.828 (multiplicity 2)
O 0.000 0.197 0.426 (multiplicity 2)

Calculated values
The calculation puts the raw total energy at -48.45 eV for the cell shown. The spin magnetization comes out at 2.0 μB per cell.


No. 9
ErPuNp: relaxed, PBE-GGA.

abc: 7.012 7.012 7.012
angles: 90.00 90.00 90.00
Space group F-43m (No. 216)
Symmetry-distinct sites (fractional):
Er 0.000 0.000 0.000 (multiplicity 4)
Pu 0.250 0.250 0.250 (multiplicity 4)
Np 0.000 0.000 0.500 (multiplicity 4)

Calculated values
The calculation puts the raw total energy at -115.34 eV for the cell shown. As for the formation energy: 875 meV per atom. The spin magnetization comes out at 41.0 μB per cell.


No. 10
AcGaMo: relaxed, PBE-GGA.

abc: 7.235 7.235 7.235
angles: 90.00 90.00 90.00
Space group F-43m (No. 216)
Symmetry-distinct sites (fractional):
Ac 0.000 0.000 0.000 (multiplicity 4)
Ga 0.250 0.250 0.750 (multiplicity 4)
Mo 0.250 0.250 0.250 (multiplicity 4)

Calculated values
The calculation puts the raw total energy at -56.92 eV for the cell shown. The spin magnetization comes out at 14.1 μB per cell.


No. 11
AcPuNb: relaxed, PBE-GGA.

abc: 7.167 7.167 7.167
angles: 90.00 90.00 90.00
Space group F-43m (No. 216)
Symmetry-distinct sites (fractional):
Ac 0.000 0.000 0.000 (multiplicity 4)
Pu 0.250 0.250 0.250 (multiplicity 4)
Nb 0.250 0.250 0.750 (multiplicity 4)

Calculated values
The calculation puts the raw total energy at -97.51 eV for the cell shown. As for the formation energy: 1316 meV per atom. The spin magnetization comes out at 17.6 μB per cell.


No. 12
CsErPa: relaxed, PBE-GGA.

abc: 8.213 8.213 8.213
angles: 90.00 90.00 90.00
Space group F-43m (No. 216)
Symmetry-distinct sites (fractional):
Cs 0.000 0.000 0.000 (multiplicity 4)
Er 0.250 0.250 0.250 (multiplicity 4)
Pa 0.000 0.000 0.500 (multiplicity 4)

Calculated values
The calculation puts the raw total energy at -37.59 eV for the cell shown. The spin magnetization comes out at 18.1 μB per cell.


No. 13
Rb2LiCoC6N6: relaxed, PBE-GGA.

abc: 7.083 7.343 12.374
angles: 90.00 124.76 90.00
Space group P2_1/c (No. 14)
Symmetry-distinct sites (fractional):
Rb 0.237 0.054 0.250 (multiplicity 4)
Li 0.000 0.000 0.500 (multiplicity 2)
Co 0.500 0.000 0.000 (multiplicity 2)
C 0.263 0.144 0.977 (multiplicity 4)
C 0.330 0.710 0.474 (multiplicity 4)
C 0.369 0.009 0.820 (multiplicity 4)
N 0.114 0.236 0.961 (multiplicity 4)
N 0.222 0.659 0.957 (multiplicity 4)
N 0.284 0.018 0.706 (multiplicity 4)

Calculated values
The calculation puts the raw total energy at -237.27 eV for the cell shown. The spin magnetization comes out at 0.0 μB per cell.


No. 14
Li4Cu2SnPd: relaxed, PBE-GGA.

abc: 4.335 4.335 6.112
angles: 90.00 90.00 90.00
Space group P-4m2 (No. 115)
Symmetry-distinct sites (fractional):
Li 0.000 0.000 0.000 (multiplicity 1)
Li 0.000 0.500 0.224 (multiplicity 2)
Li 0.500 0.500 0.500 (multiplicity 1)
Cu 0.000 0.500 0.757 (multiplicity 2)
Sn 0.000 0.000 0.500 (multiplicity 1)
Pd 0.500 0.500 0.000 (multiplicity 1)

Calculated values
The calculation puts the raw total energy at -26.37 eV for the cell shown.


No. 15
Y2HoSc3CuSe2: relaxed, PBE-GGA.

abc: 3.845 13.462 7.749
angles: 90.00 90.00 90.00
Space group Amm2 (No. 38)
Symmetry-distinct sites (fractional):
Y 0.000 0.202 0.000 (multiplicity 4)
Ho 0.000 0.000 0.607 (multiplicity 2)
Sc 0.500 0.000 0.957 (multiplicity 2)
Sc 0.500 0.122 0.325 (multiplicity 4)
Cu 0.000 0.000 0.203 (multiplicity 2)
Se 0.500 0.166 0.702 (multiplicity 4)

Calculated values
The calculation puts the raw total energy at -108.22 eV for the cell shown. The spin magnetization comes out at 4.1 μB per cell.


No. 16
NaAg4Se4: relaxed, PBE-GGA.

abc: 4.3509 4.3509 13.0962
angles: 90.00 90.00 120.00
Space group P-3m1 (No. 164)
Symmetry-distinct sites (fractional):
Na 0.0000 0.0000 0.0000 (multiplicity 1)
Ag 0.3333 0.6667 0.3378 (multiplicity 2)
Ag 0.3333 0.6667 0.8063 (multiplicity 2)
Se 0.0000 0.0000 0.4091 (multiplicity 2)
Se 0.3333 0.6667 0.1339 (multiplicity 2)

Calculated values
The calculation puts the raw total energy at -28.88 eV for the cell shown.


No. 17
Cs2Os: relaxed, PBE-GGA.

abc: 9.771 9.771 9.771
angles: 90.00 90.00 90.00
Space group Fd-3m (No. 227, origin choice 2)
Symmetry-distinct sites (fractional):
Cs 0.000 0.000 0.000 (multiplicity 16)
Os 0.125 0.125 0.625 (multiplicity 8)

Calculated values
The calculation puts the raw total energy at -50.31 eV for the cell shown. The spin magnetization comes out at 16.9 μB per cell.


No. 18
LiLuFeMo: relaxed, PBE-GGA.

abc: 6.422 6.422 6.422
angles: 90.00 90.00 90.00
Space group F-43m (No. 216)
Symmetry-distinct sites (fractional):
Li 0.000 0.000 0.000 (multiplicity 4)
Lu 0.000 0.000 0.500 (multiplicity 4)
Fe 0.250 0.250 0.250 (multiplicity 4)
Mo 0.250 0.250 0.750 (multiplicity 4)

Calculated values
The calculation puts the raw total energy at -91.32 eV for the cell shown. The spin magnetization comes out at 15.8 μB per cell.


No. 19
NiBiMoPt: relaxed, PBE-GGA.

abc: 6.474 6.474 6.474
angles: 90.00 90.00 90.00
Space group F-43m (No. 216)
Symmetry-distinct sites (fractional):
Ni 0.000 0.000 0.000 (multiplicity 4)
Bi 0.250 0.250 0.750 (multiplicity 4)
Mo 0.000 0.000 0.500 (multiplicity 4)
Pt 0.250 0.250 0.250 (multiplicity 4)

Calculated values
The calculation puts the raw total energy at -101.06 eV for the cell shown. The spin magnetization comes out at 4.1 μB per cell.


No. 20
La2Co3: relaxed, PBE-GGA.

abc: 4.786 10.216 7.767
angles: 90.00 90.00 90.00
Space group Cmce (No. 64)
Symmetry-distinct sites (fractional):
La 0.000 0.151 0.089 (multiplicity 8)
Co 0.000 0.000 0.500 (multiplicity 4)
Co 0.250 0.088 0.750 (multiplicity 8)

Calculated values
The calculation puts the raw total energy at -126.50 eV for the cell shown. As for the formation energy: -92 meV per atom. The spin magnetization comes out at 7.5 μB per cell.


No. 21
BaTmTa: relaxed, PBE-GGA.

abc: 7.271 7.271 7.271
angles: 90.00 90.00 90.00
Space group F-43m (No. 216)
Symmetry-distinct sites (fractional):
Ba 0.000 0.000 0.000 (multiplicity 4)
Tm 0.250 0.250 0.250 (multiplicity 4)
Ta 0.250 0.250 0.750 (multiplicity 4)

Calculated values
The calculation puts the raw total energy at -51.21 eV for the cell shown. The spin magnetization comes out at 8.5 μB per cell.


No. 22
RbErI3: relaxed, PBE-GGA.

abc: 10.273 4.302 18.016
angles: 90.00 90.00 90.00
Space group Pnma (No. 62)
Symmetry-distinct sites (fractional):
Rb 0.073 0.250 0.174 (multiplicity 4)
Er 0.124 0.750 0.458 (multiplicity 4)
I 0.047 0.750 0.623 (multiplicity 4)
I 0.174 0.750 0.005 (multiplicity 4)
I 0.227 0.250 0.807 (multiplicity 4)

Calculated values
The calculation puts the raw total energy at -66.04 eV for the cell shown. The spin magnetization comes out at 4.0 μB per cell.